## V2Pb3O8 (PBE with a Hubbard U)

Data for an optimized crystal structure of V2Pb3O8.

a = 9.587 Å, b = 6.495 Å, c = 7.584 Å
α = 90.00°, β = 115.94°, γ = 90.00°
Space group C2 (No. 5)
Unique sites:
V: 0.097 0.000 0.302 (multiplicity 4)
Pb: 0.000 0.515 0.500 (multiplicity 2)
Pb: 0.231 0.572 0.122 (multiplicity 4)
O: 0.021 0.218 0.783 (multiplicity 4)
O: 0.035 0.799 0.731 (multiplicity 4)
O: 0.207 0.947 0.174 (multiplicity 4)
O: 0.231 0.041 0.544 (multiplicity 4)

Values from the calculation:
M_tot	0.000	μB/atom
DOS(E_F)	0.0000	states/eV per atom
VASP energy	-6.687	eV per atom
ΔE to the lowest computed polymorph	3	meV/atom